First-principles (PBE-GGA) data for crystalline Cs2UPt2Se6 at its relaxed geometry, as listed in the Alexandria database.

Calculated values
Its raw total energy is -53.332 eV/cell.

Lattice parameters (Å, degrees): 7.7766 7.7766 8.2044 118.37 118.37 60.03
Fractional coordinates of all 11 atoms:
Cs: 0.2424 0.2424 0.2270
Cs: 0.7576 0.7576 0.7730
U: 0.0000 0.0000 0.5000
Pt: 0.4256 0.4256 0.7761
Pt: 0.5744 0.5744 0.2239
Se: 0.2349 0.7631 0.2601
Se: 0.2369 0.7651 0.7399
Se: 0.2378 0.2378 0.7411
Se: 0.7622 0.7622 0.2589
Se: 0.7631 0.2349 0.2601
Se: 0.7651 0.2369 0.7399